Entry 1:
DFT (PBEsol) results for an optimized crystal structure of MgHgS2.

a b c (Å): 3.936 3.936 7.479
angles (deg): 74.74 74.74 60.00
Fractional positions:
S 0.108 0.108 0.675
S 0.892 0.892 0.325
Hg 0.000 0.000 0.000
Mg 0.500 0.500 0.500

M_tot = 0.00 μB per cell
V = 95.6 Å³/cell
offset from the most stable computed form = 0.16 eV per formula unit
E_form (uncorrected) = -0.736 eV per atom

Entry 2:
DFT (PBEsol) results for an optimized crystal structure of MgHgS2.

a b c (Å): 5.743 5.743 7.083
angles (deg): 113.92 113.92 90.00
Fractional positions:
Mg 0.750 0.250 0.500
Mg 0.500 0.500 0.000
Hg 0.000 0.000 0.000
Hg 0.250 0.750 0.500
S 0.625 0.609 0.750
S 0.391 0.875 0.250
S 0.859 0.375 0.250
S 0.125 0.141 0.750

M_tot = 0.00 μB per cell
V = 191.4 Å³/cell
offset from the most stable computed form = 0.00 eV per formula unit
E_form (uncorrected) = -0.776 eV per atom

Entry 3:
DFT (PBEsol) results for an optimized crystal structure of MgHgW2S.

a b c (Å): 4.674 4.765 4.765
angles (deg): 90.00 90.00 90.00
Each line ends with the local moment (μB).
Fractional positions:
Hg 0.500 0.000 0.000  0.01
Mg 0.000 0.000 0.000  0.03
W 0.000 0.500 0.000  1.26
W 0.000 0.000 0.500  1.26
S 0.500 0.500 0.500  -0.06

M_tot = 3.26 μB per cell
V = 106.1 Å³/cell
E_form (uncorrected) = 2.549 eV per atom

Entry 4:
DFT (PBEsol) results for an optimized crystal structure of Mg2HgSb.

a b c (Å): 4.222 4.222 5.839
angles (deg): 111.20 111.20 90.00
Fractional positions:
Mg 0.750 0.250 0.500
Mg 0.000 0.000 0.000
Hg 0.250 0.750 0.500
Sb 0.500 0.500 0.000

M_tot = 0.00 μB per cell
V = 89.5 Å³/cell
offset from the most stable computed form = 0.08 eV per formula unit
E_form (uncorrected) = -0.216 eV per atom

Entry 5:
DFT (PBEsol) results for an optimized crystal structure of MgHg2Sb.

a b c (Å): 3.451 3.451 9.362
angles (deg): 79.38 79.38 60.00
Fractional positions:
Hg 0.004 0.004 0.987
Hg 0.754 0.754 0.738
Mg 0.496 0.496 0.512
Sb 0.246 0.246 0.263

M_tot = 0.00 μB per cell
V = 94.3 Å³/cell
E_form (uncorrected) = -0.073 eV per atom

Entry 6:
DFT (PBEsol) results for an optimized crystal structure of Mg2HgSb.

a b c (Å): 3.453 4.646 6.389
angles (deg): 100.95 90.00 111.81
Fractional positions:
Sb 0.500 0.000 0.000
Mg 0.748 0.495 0.731
Mg 0.252 0.505 0.269
Hg 0.000 0.000 0.500

M_tot = 0.00 μB per cell
V = 93.1 Å³/cell
offset from the most stable computed form = 0.00 eV per formula unit
E_form (uncorrected) = -0.236 eV per atom

Entry 7:
DFT (PBEsol) results for an optimized crystal structure of MgHgSb.

a b c (Å): 4.757 4.757 4.757
angles (deg): 60.00 60.00 60.00
Fractional positions:
Mg 0.250 0.250 0.250
Hg 0.500 0.500 0.500
Sb 0.000 0.000 0.000

M_tot = 0.00 μB per cell
V = 76.1 Å³/cell
E_form (uncorrected) = -0.128 eV per atom

Entry 8:
DFT (PBEsol) results for an optimized crystal structure of MgHg2Sb.

a b c (Å): 3.308 4.644 6.928
angles (deg): 109.58 103.81 90.00
Fractional positions:
Hg 0.800 0.300 0.599
Hg 0.025 0.025 0.051
Mg 0.483 0.483 0.967
Sb 0.191 0.691 0.383

M_tot = 0.00 μB per cell
V = 97.0 Å³/cell
E_form (uncorrected) = -0.069 eV per atom

What is the formula in the seventh record? MgHgSb

Among the records above, which one has the highest V? number 2

What is the M_tot in the first record? 0.00 μB per cell

Please write out number 1 again, unchanged.
DFT (PBEsol) results for an optimized crystal structure of MgHgS2.

a b c (Å): 3.936 3.936 7.479
angles (deg): 74.74 74.74 60.00
Fractional positions:
S 0.108 0.108 0.675
S 0.892 0.892 0.325
Hg 0.000 0.000 0.000
Mg 0.500 0.500 0.500

M_tot = 0.00 μB per cell
V = 95.6 Å³/cell
offset from the most stable computed form = 0.16 eV per formula unit
E_form (uncorrected) = -0.736 eV per atom